# CoAgSbO4

A relaxed structure of CoAgSbO4 (PBE with a Hubbard U, the Alexandria database).

extended XYZ file:
```
14
Lattice="6.262 0.000 0.000 -3.131 5.684 -0.269 0.000 -3.307 5.439" Properties=species:S:1:pos:R:3 pbc="T T T"
Ag 0.000 -1.286 4.805
Ag 3.131 3.663 0.365
Sb 3.131 0.000 0.000
Sb 3.131 -1.654 2.719
O 4.470 -0.781 1.387
O 1.339 3.158 3.783
O 1.792 -0.781 1.387
O 0.000 0.800 3.939
O 0.000 2.212 1.618
O 3.131 1.576 1.231
O 3.131 0.165 3.553
O -1.339 3.158 3.783
Co 1.566 1.188 2.585
Co -1.566 1.188 2.585
```

Computed properties:
calculated density = 6.2 g cm⁻³
total DFT energy (no corrections) = -5.5606 eV per atom